[1]
DFT (PBE-GGA) results for crystalline PH2Os at its relaxed geometry.

The structure belongs to space group I4_1/amd (No. 141, origin choice 2); the cell edges are 3.399, 3.399 and 13.713 Å and the angles 90.00°, 90.00° and 90.00°. The distinct sites, in fractional coordinates, are P at (0.000, 0.250, 0.375), H at (0.000, 0.000, 0.000) and Os at (0.000, 0.250, 0.875).



[2]
DFT (PBE-GGA) results for crystalline PHOs2 at its relaxed geometry.

The structure belongs to space group I-42d (No. 122); the cell edges are 4.420, 4.420 and 10.619 Å and the angles 90.00°, 90.00° and 90.00°. The distinct sites, in fractional coordinates, are P at (0.000, 0.000, 0.000), H at (0.000, 0.000, 0.500) and Os at (0.154, 0.250, 0.625).



[3]
DFT (PBE-GGA) results for crystalline P3HOs at its relaxed geometry.

The structure belongs to space group Pm-3m (No. 221); the cell edges are 3.877, 3.877 and 3.877 Å and the angles 90.00°, 90.00° and 90.00°. The distinct sites, in fractional coordinates, are P at (0.000, 0.000, 0.500), H at (0.000, 0.000, 0.000) and Os at (0.500, 0.500, 0.500).



[4]
DFT (PBE-GGA) results for crystalline P3HOs at its relaxed geometry.

The structure belongs to space group Pm-3m (No. 221); the cell edges are 4.589, 4.589 and 4.589 Å and the angles 90.00°, 90.00° and 90.00°. The distinct sites, in fractional coordinates, are P at (0.000, 0.000, 0.500), H at (0.500, 0.500, 0.500) and Os at (0.000, 0.000, 0.000).



[5]
DFT (PBE-GGA) results for crystalline PHOs2 at its relaxed geometry.

The structure belongs to space group Fm-3m (No. 225); the cell edges are 5.626, 5.626 and 5.626 Å and the angles 90.00°, 90.00° and 90.00°. The distinct sites, in fractional coordinates, are P at (0.000, 0.000, 0.000), H at (0.000, 0.000, 0.500) and Os at (0.250, 0.250, 0.250).



[6]
DFT (PBE-GGA) results for crystalline PaPHOs at its relaxed geometry.

The structure belongs to space group P4/nmm (No. 129, origin choice 2); the cell edges are 4.033, 4.033 and 6.852 Å and the angles 90.00°, 90.00° and 90.00°. The distinct sites, in fractional coordinates, are Pa at (0.250, 0.250, 0.164), P at (0.250, 0.250, 0.701), H at (0.250, 0.750, 0.000) and Os at (0.250, 0.750, 0.500).



[7]
DFT (PBE-GGA) results for crystalline PmPHOs at its relaxed geometry.

The structure belongs to space group P4/nmm (No. 129, origin choice 2); the cell edges are 4.042, 4.042 and 7.580 Å and the angles 90.00°, 90.00° and 90.00°. The distinct sites, in fractional coordinates, are Pm at (0.250, 0.250, 0.169), P at (0.250, 0.250, 0.662), H at (0.250, 0.750, 0.000) and Os at (0.250, 0.750, 0.500).



[8]
DFT (PBE-GGA) results for crystalline PrPHOs at its relaxed geometry.

The structure belongs to space group P4/nmm (No. 129, origin choice 2); the cell edges are 4.057, 4.057 and 7.817 Å and the angles 90.00°, 90.00° and 90.00°. The distinct sites, in fractional coordinates, are Pr at (0.250, 0.250, 0.172), P at (0.250, 0.250, 0.656), H at (0.250, 0.750, 0.000) and Os at (0.250, 0.750, 0.500).



| no. | uncorrected energy (eV/atom) |
| --- | --- |
| 1 | -5.255 |
| 2 | -7.355 |
| 3 | -5.229 |
| 4 | -5.017 |
| 5 | -7.383 |
| 6 | -8.074 |
| 7 | -6.975 |
| 8 | -6.969 |